# Li4MgNi3O8

An optimized crystal structure of Li4MgNi3O8 (PBE+U, the Alexandria database).

Total moment: 0.125 μB per atom
ΔE to the lowest computed polymorph: 0.000 eV/atom
Uncorrected energy: -5.003 eV/atom

a = 10.1553 Å, b = 5.7715 Å, c = 10.0450 Å
α = 90.00°, β = 110.00°, γ = 90.00°
Space group C2/c (No. 15)
Asymmetric unit:
Li  0.2485  0.0128  0.2560
Li  0.2500  0.2500  0.0000
Li  0.2500  0.2500  0.5000
Mg  0.0000  0.2472  0.7500
Ni  0.0000  0.0000  0.0000
Ni  0.0000  0.2554  0.2500
Ni  0.0000  0.5000  0.0000
O  0.1076  0.0175  0.3742
O  0.1079  0.4907  0.3777
O  0.1089  0.2529  0.6114
O  0.1222  0.2741  0.1178